! ScRh4Pb3 (GGA-PBE, optimized geometry); values from VASP
&SYSTEM
  ibrav = 0, nat = 8, ntyp = 3
/
ATOMIC_SPECIES
Sc 44.96 Sc.upf
Rh 102.91 Rh.upf
Pb 207.20 Pb.upf
CELL_PARAMETERS angstrom
-2.260 2.260 7.234
2.260 -2.260 7.234
2.260 2.260 -7.234
ATOMIC_POSITIONS crystal
Sc 0.000 0.000 0.000
Rh 0.119 0.619 0.500
Rh 0.381 0.881 0.500
Rh 0.619 0.119 0.500
Rh 0.881 0.381 0.500
Pb 0.248 0.248 0.000
Pb 0.500 0.500 0.000
Pb 0.752 0.752 0.000
! E_form (eV/atom): -0.25
! Space-group type: No. 139
! Final energy (eV per atom): -6.11